A plane-wave DFT calculation with PBE was carried out for a geometry-optimized Pu2Th2AlSi4 structure.

Geometry as POSCAR:
```
Pu2Th2AlSi4
1.0
-0.466 -1.913 6.156
-3.387 -3.520 -4.232
5.859 -0.668 -2.646
Pu Th Al Si
2 2 1 4
Direct
0.000 0.327 0.327
0.000 0.673 0.673
0.500 0.750 0.250
0.500 0.250 0.750
0.000 0.000 0.000
0.493 0.247 0.247
0.000 0.247 0.753
0.507 0.753 0.753
0.000 0.753 0.247
```

## Properties
Total moment (μB per atom): 1.349
Symmetry: I4/mmm
ΔE_f (raw) (eV/f.u.): -1.075
Electronic total energy (eV/atom): -7.779